No. 1
## MnBeBi2Pb (PBE-GGA)

Data for crystalline MnBeBi2Pb at its relaxed geometry.

Calculated values
Total energy = -18.637 eV for the cell shown
Fermi-level density of states = 1.212 states/eV per atom
E_form = 5.7 eV per formula unit

abc: 5.1119 4.9077 5.1119
angles: 90.00 90.00 90.00
Last column: nearest neighbours and their distance in Å.
Sites, in units of the cell vectors:
1 Pb 0.0000 0.5000 0.0000  2 Be 2.45
2 Be 0.0000 0.0000 0.0000  2 Pb 2.45, 4 Bi 2.56
3 Mn 0.5000 0.5000 0.5000  8 Bi 3.54, 4 Pb 3.61
4 Bi 0.0000 0.0000 0.5000  2 Be 2.56
5 Bi 0.5000 0.0000 0.0000  2 Be 2.56


No. 2
## BeBiMo2 (PBE-GGA)

Data for crystalline BeBiMo2 at its relaxed geometry.

Calculated values
Total energy = -26.141 eV for the cell shown
Offset from the most stable computed form = 66.1 meV/atom
Fermi-level density of states = 0.902 states/eV per atom
E_form = 3.1 eV per formula unit

abc: 4.5350 4.5350 4.5350
angles: 60.00 60.00 60.00
Last column: nearest neighbours and their distance in Å.
Sites, in units of the cell vectors:
1 Be 0.0000 0.0000 0.0000  8 Mo 2.78
2 Mo 0.2500 0.2500 0.2500  4 Bi 2.78, 4 Be 2.78
3 Mo 0.7500 0.7500 0.7500  4 Be 2.78, 4 Bi 2.78
4 Bi 0.5000 0.5000 0.5000  8 Mo 2.78


No. 3
## Be2BiMo2 (PBE-GGA)

Data for crystalline Be2BiMo2 at its relaxed geometry.

Calculated values
Total energy = -29.707 eV for the cell shown
Offset from the most stable computed form = 319.9 meV/atom
Fermi-level density of states = 0.446 states/eV per atom
E_form = 3.3 eV per formula unit

abc: 4.4458 4.4458 5.1361
angles: 64.36 64.36 90.00
Last column: nearest neighbours and their distance in Å.
Sites, in units of the cell vectors:
1 Be 0.7500 0.2500 0.5000  4 Mo 2.34
2 Be 0.2500 0.7500 0.5000  4 Mo 2.34
3 Mo 0.3403 0.3403 0.3194  4 Be 2.34, 1 Mo 2.59
4 Mo 0.6597 0.6597 0.6806  4 Be 2.34, 1 Mo 2.59
5 Bi 0.0000 0.0000 0.0000  2 Mo 2.76, 8 Be 3.01


No. 4
## Be2BiMo2 (PBE-GGA)

Data for crystalline Be2BiMo2 at its relaxed geometry.

Calculated values
Total energy = -30.363 eV for the cell shown
Offset from the most stable computed form = 188.6 meV/atom
Fermi-level density of states = 0.580 states/eV per atom
E_form = 2.6 eV per formula unit

abc: 3.7049 3.7049 6.3866
angles: 73.14 73.14 90.00
Last column: nearest neighbours and their distance in Å.
Sites, in units of the cell vectors:
1 Be 0.4001 0.4001 0.1998  1 Be 2.33, 4 Mo 2.55
2 Be 0.5999 0.5999 0.8002  1 Be 2.33, 4 Mo 2.55
3 Mo 0.7500 0.2500 0.5000  4 Be 2.55, 4 Mo 2.62
4 Mo 0.2500 0.7500 0.5000  4 Be 2.55, 4 Mo 2.62
5 Bi 0.0000 0.0000 0.0000  8 Be 2.87


No. 5
## Be2BiMo2 (PBE-GGA)

Data for crystalline Be2BiMo2 at its relaxed geometry.

Calculated values
Total energy = -60.799 eV for the cell shown
Offset from the most stable computed form = 181.3 meV/atom
Fermi-level density of states = 0.607 states/eV per atom
E_form = 2.6 eV per formula unit

abc: 7.0105 7.0105 3.2247
angles: 90.00 90.00 90.00
Last column: nearest neighbours and their distance in Å.
Sites, in units of the cell vectors:
1 Be 0.1631 0.6631 0.5000  6 Mo 2.58-2.68
2 Be 0.6631 0.8369 0.5000  6 Mo 2.58-2.68
3 Be 0.8369 0.3369 0.5000  6 Mo 2.58-2.68
4 Be 0.3369 0.1631 0.5000  6 Mo 2.58-2.68
5 Mo 0.3787 0.8787 0.0000  1 Mo 2.40, 6 Be 2.58-2.68
6 Mo 0.8787 0.6213 0.0000  1 Mo 2.40, 6 Be 2.58-2.68
7 Mo 0.6213 0.1213 0.0000  1 Mo 2.40, 6 Be 2.58-2.68
8 Mo 0.1213 0.3787 0.0000  1 Mo 2.40, 6 Be 2.58-2.68
9 Bi 0.0000 0.0000 0.0000  4 Mo 2.79, 8 Be 3.08
10 Bi 0.5000 0.5000 0.0000  4 Mo 2.79, 8 Be 3.08


No. 6
## Be2BiMo2 (PBE-GGA)

Data for crystalline Be2BiMo2 at its relaxed geometry.

Calculated values
Total energy = -62.612 eV for the cell shown
Offset from the most stable computed form = 0.0 meV/atom
Fermi-level density of states = 0.721 states/eV per atom
E_form = 1.7 eV per formula unit

abc: 6.4356 6.4356 3.4058
angles: 90.00 90.00 90.00
Last column: nearest neighbours and their distance in Å.
Sites, in units of the cell vectors:
1 Be 0.3884 0.8884 0.0000  1 Be 2.03
2 Be 0.8884 0.6116 0.0000  1 Be 2.03
3 Be 0.6116 0.1116 0.0000  1 Be 2.03
4 Be 0.1116 0.3884 0.0000  1 Be 2.03
5 Mo 0.1719 0.6719 0.5000  6 Be 2.53-2.60
6 Mo 0.6719 0.8281 0.5000  6 Be 2.53-2.60
7 Mo 0.8281 0.3281 0.5000  6 Be 2.53-2.60
8 Mo 0.3281 0.1719 0.5000  6 Be 2.53-2.60
9 Bi 0.0000 0.0000 0.0000  4 Be 2.60
10 Bi 0.5000 0.5000 0.0000  4 Be 2.60


No. 7
## BeBiMo2 (PBE-GGA)

Data for crystalline BeBiMo2 at its relaxed geometry.

Calculated values
Total energy = -52.811 eV for the cell shown
Offset from the most stable computed form = 0.0 meV/atom
Fermi-level density of states = 0.468 states/eV per atom
E_form = 2.9 eV per formula unit

abc: 3.8971 3.8971 9.9811
angles: 78.74 78.74 90.00
Last column: nearest neighbours and their distance in Å.
Sites, in units of the cell vectors:
1 Be 0.5000 0.5000 0.0000  4 Mo 2.70, 4 Bi 2.76
2 Be 0.2500 0.7500 0.5000  4 Mo 2.70, 4 Bi 2.76
3 Mo 0.5694 0.1250 0.2500  2 Mo 2.47, 2 Be 2.70
4 Mo 0.1806 0.6250 0.2500  2 Mo 2.47, 2 Be 2.70
5 Mo 0.3750 0.4306 0.7500  2 Mo 2.47, 2 Be 2.70
6 Mo 0.8750 0.8194 0.7500  2 Mo 2.47, 2 Be 2.70
7 Bi 0.0000 0.0000 0.0000  4 Be 2.76, 4 Mo 2.85
8 Bi 0.7500 0.2500 0.5000  4 Be 2.76, 4 Mo 2.85


No. 8
## NaBe2BiMo (PBE-GGA)

Data for crystalline NaBe2BiMo at its relaxed geometry.

Calculated values
Total energy = -17.064 eV for the cell shown
Fermi-level density of states = 0.549 states/eV per atom
E_form = 6.4 eV per formula unit

abc: 4.5077 5.1875 4.5077
angles: 90.00 90.00 90.00
Last column: nearest neighbours and their distance in Å.
Sites, in units of the cell vectors:
1 Na 0.0000 0.5000 0.0000  2 Mo 2.59
2 Mo 0.0000 0.0000 0.0000  4 Be 2.25
3 Bi 0.5000 0.5000 0.5000  4 Na 3.19, 8 Be 3.44
4 Be 0.0000 0.0000 0.5000  2 Mo 2.25
5 Be 0.5000 0.0000 0.0000  2 Mo 2.25


No. 9
## BeNb2BiMo (PBE-GGA)

Data for crystalline BeNb2BiMo at its relaxed geometry.

Calculated values
Total energy = -26.418 eV for the cell shown
Fermi-level density of states = 1.662 states/eV per atom
E_form = 12.2 eV per formula unit

abc: 5.1371 5.0005 5.1371
angles: 90.00 90.00 90.00
Last column: nearest neighbours and their distance in Å.
Sites, in units of the cell vectors:
1 Be 0.5000 0.5000 0.5000  8 Nb 3.58, 4 Mo 3.63
2 Mo 0.0000 0.5000 0.0000  2 Bi 2.50
3 Bi 0.0000 0.0000 0.0000  2 Mo 2.50, 4 Nb 2.57
4 Nb 0.0000 0.0000 0.5000  2 Bi 2.57
5 Nb 0.5000 0.0000 0.0000  2 Bi 2.57


No. 10
## BeBi2MoOs (PBE-GGA)

Data for crystalline BeBi2MoOs at its relaxed geometry.

Calculated values
Total energy = -27.574 eV for the cell shown
Fermi-level density of states = 0.901 states/eV per atom
E_form = 6.0 eV per formula unit

abc: 4.9798 4.1131 4.9798
angles: 90.00 90.00 90.00
Last column: nearest neighbours and their distance in Å.
Sites, in units of the cell vectors:
1 Be 0.0000 0.0000 0.0000  2 Os 2.06
2 Mo 0.5000 0.5000 0.5000  8 Bi 3.23, 4 Os 3.52
3 Os 0.0000 0.5000 0.0000  2 Be 2.06
4 Bi 0.0000 0.0000 0.5000  2 Be 2.49
5 Bi 0.5000 0.0000 0.0000  2 Be 2.49


No. 11
## BeBi2MoP (PBE-GGA)

Data for crystalline BeBi2MoP at its relaxed geometry.

Calculated values
Total energy = -23.398 eV for the cell shown
Fermi-level density of states = 0.550 states/eV per atom
E_form = 4.3 eV per formula unit

abc: 5.6394 3.8012 5.6394
angles: 90.00 90.00 90.00
Last column: nearest neighbours and their distance in Å.
Sites, in units of the cell vectors:
1 P 0.0000 0.0000 0.0000  2 Be 1.90
2 Mo 0.5000 0.5000 0.5000  8 Bi 3.40, 2 Mo 3.80
3 Bi 0.0000 0.0000 0.5000  2 P 2.82
4 Bi 0.5000 0.0000 0.0000  2 P 2.82
5 Be 0.0000 0.5000 0.0000  2 P 1.90


No. 12
## BeBiMo2S (PBE-GGA)

Data for crystalline BeBiMo2S at its relaxed geometry.

Calculated values
Total energy = -22.966 eV for the cell shown
Offset from the most stable computed form = 886.3 meV/atom
Fermi-level density of states = 0.887 states/eV per atom
Uncorrected formation energy = 2.086 eV per atom

abc: 5.4846 4.4310 5.4846
angles: 90.00 90.00 90.00
Last column: nearest neighbours and their distance in Å.
Sites, in units of the cell vectors:
1 S 0.5000 0.5000 0.5000  8 Mo 3.53, 4 Be 3.88
2 Be 0.0000 0.5000 0.0000  2 Bi 2.22
3 Mo 0.0000 0.0000 0.5000  2 Bi 2.74
4 Mo 0.5000 0.0000 0.0000  2 Bi 2.74
5 Bi 0.0000 0.0000 0.0000  2 Be 2.22